Record 1
ScIrCO, relaxed, DFT GGA-PBE; raw total energy = -8.530 eV per atom; symmetry = R-3m
1.0
1.640 0.947 10.645
-1.640 0.947 10.645
0.000 -1.894 10.645
Sc Ir C O
2 2 2 2
Cartesian
0.000 0.000 0.000
0.000 0.000 15.968
0.000 0.000 7.484
0.000 0.000 24.452
0.000 0.000 3.766
0.000 0.000 28.170
0.000 0.000 9.649
0.000 0.000 22.287

---

Record 2
P4Ir2C, relaxed, DFT GGA-PBE; raw total energy = -6.833 eV per atom; symmetry = C2/m
1.0
5.203 -2.797 0.000
5.203 2.797 0.000
-1.345 0.000 3.507
P Ir C
4 2 1
Cartesian
2.585 1.512 3.008
6.475 1.512 0.499
2.585 -1.512 3.008
6.475 -1.512 0.499
3.202 0.000 1.232
5.858 0.000 2.275
0.000 0.000 0.000

---

Record 3
Sr2IrPtC2, relaxed, DFT GGA-PBE; raw total energy = -6.256 eV per atom; symmetry = Pmmm
1.0
3.855 0.000 0.000
0.000 3.873 0.000
0.000 0.000 8.113
Sr Ir Pt C
2 1 1 2
Cartesian
0.000 0.000 1.998
0.000 0.000 6.115
1.928 1.937 0.000
1.928 1.937 4.056
0.000 1.937 4.056
1.928 0.000 0.000

---

Record 4
Y2ReIrC6, relaxed, DFT GGA-PBE; raw total energy = -8.064 eV per atom; symmetry = R-3m
1.0
2.601 1.502 5.451
-2.601 1.502 5.451
0.000 -3.003 5.451
Y Re Ir C
2 1 1 6
Cartesian
0.000 0.000 4.070
0.000 0.000 12.284
0.000 0.000 0.000
0.000 0.000 8.177
0.000 -1.484 6.790
-1.285 0.742 6.790
-1.285 -0.742 9.564
1.285 0.742 6.790
1.285 -0.742 9.564
0.000 1.484 9.564

---

Record 5
SbIr4C2S, relaxed, DFT GGA-PBE; raw total energy = -7.031 eV per atom; symmetry = P-6m2
1.0
3.384 0.000 0.000
-1.692 2.930 0.000
0.000 0.000 11.428
Sb Ir C S
1 4 2 1
Cartesian
0.000 0.000 0.000
0.000 0.000 3.951
0.000 0.000 7.477
0.000 1.954 1.950
0.000 1.954 9.478
1.692 0.977 3.117
1.692 0.977 8.310
0.000 1.954 5.714

---

Record 6
Ir2CSeS, relaxed, DFT GGA-PBE; raw total energy = -6.534 eV per atom; symmetry = P3m1
1.0
3.431 0.000 0.000
-1.715 2.971 0.000
0.000 0.000 8.662
Ir C Se S
2 1 1 1
Cartesian
0.000 0.000 0.000
0.000 1.981 2.104
1.715 0.990 0.697
0.000 1.981 7.017
0.000 0.000 3.322

---

Record 7
TeIr2CS, relaxed, DFT GGA-PBE; raw total energy = -6.425 eV per atom; symmetry = P3m1
1.0
3.370 0.000 0.000
-1.685 2.919 0.000
0.000 0.000 9.399
Te Ir C S
1 2 1 1
Cartesian
0.000 0.000 0.000
0.000 0.000 4.972
0.000 1.946 7.324
1.685 0.973 6.633
0.000 1.946 3.791

---

Record 8
Sc2Ir2C3, relaxed, DFT GGA-PBE; raw total energy = -8.446 eV per atom; symmetry = C2/m
1.0
5.622 -1.638 0.000
5.622 1.638 0.000
-1.754 0.000 4.749
Sc Ir C
2 2 3
Cartesian
0.952 0.000 1.431
8.538 0.000 3.318
3.897 0.000 0.933
5.594 0.000 3.816
1.219 0.000 3.708
5.622 0.000 0.000
8.272 0.000 1.041

---

Record 9
ScIr3C, relaxed, DFT GGA-PBE; raw total energy = -8.661 eV per atom; symmetry = Pm-3m
1.0
4.138 0.000 0.000
0.000 4.138 0.000
0.000 0.000 4.138
Sc Ir C
1 3 1
Cartesian
0.000 0.000 0.000
0.000 2.069 2.069
2.069 0.000 2.069
2.069 2.069 0.000
2.069 2.069 2.069

---

Record 10
Sr2IrC, relaxed, DFT GGA-PBE; raw total energy = -5.527 eV per atom; symmetry = I-42d
1.0
-5.410 5.410 1.945
5.410 -5.410 1.945
5.410 5.410 -1.945
Sr Ir C
4 2 2
Cartesian
-0.518 2.705 0.486
2.705 4.892 1.459
0.518 8.115 0.486
-2.705 5.928 1.459
5.410 0.000 0.972
0.000 0.000 1.945
0.000 0.000 0.000
0.000 5.410 0.972

---

Record 11
Sr2IrC, relaxed, DFT GGA-PBE; raw total energy = -5.526 eV per atom; symmetry = Immm
1.0
-1.941 2.024 7.580
1.941 -2.024 7.580
1.941 2.024 -7.580
Sr Ir C
2 1 1
Cartesian
0.000 0.000 1.792
0.000 0.000 13.367
0.000 0.000 7.580
0.000 2.024 0.000

---

Record 12
U2IrC2, relaxed, DFT GGA-PBE; raw total energy = -10.311 eV per atom; symmetry = I4/mmm
1.0
-1.741 1.741 6.213
1.741 -1.741 6.213
1.741 1.741 -6.213
U Ir C
2 1 2
Cartesian
0.000 0.000 1.811
0.000 0.000 10.614
0.000 0.000 6.213
0.000 0.000 4.090
0.000 0.000 8.335

---

Record 13
YIr3C3, relaxed, DFT GGA-PBE; raw total energy = -8.399 eV per atom; symmetry = P6_3/mmc
1.0
3.395 0.000 0.000
-1.697 2.940 0.000
0.000 0.000 18.354
Y Ir C
2 6 6
Cartesian
0.000 0.000 0.000
0.000 0.000 9.177
0.000 1.960 2.373
0.000 1.960 6.804
0.000 1.960 13.765
1.697 0.980 4.588
1.697 0.980 11.550
1.697 0.980 15.981
0.000 1.960 4.588
0.000 1.960 10.802
0.000 1.960 16.729
1.697 0.980 1.625
1.697 0.980 7.552
1.697 0.980 13.765

---

Record 14
ZnIr3C, relaxed, DFT GGA-PBE; raw total energy = -7.155 eV per atom; symmetry = Pm-3m
1.0
4.075 0.000 0.000
0.000 4.075 0.000
0.000 0.000 4.075
Zn Ir C
1 3 1
Cartesian
0.000 0.000 0.000
0.000 2.037 2.037
2.037 0.000 2.037
2.037 2.037 0.000
2.037 2.037 2.037

---

Record 15
ZrIrC2, relaxed, DFT GGA-PBE; raw total energy = -8.608 eV per atom; symmetry = P4/mmm
1.0
3.228 0.000 0.000
0.000 3.228 0.000
0.000 0.000 4.496
Zr Ir C
1 1 2
Cartesian
0.000 0.000 0.000
1.614 1.614 2.248
0.000 0.000 2.248
1.614 1.614 0.000

---

Record 16
K2PtC4N4, relaxed, DFT GGA-PBE; raw total energy = -7.324 eV per atom; symmetry = Pccn
1.0
9.032 0.000 0.000
0.000 13.594 0.000
0.000 0.000 6.897
K Pt C N
8 4 16 16
Cartesian
1.303 1.368 1.447
1.303 5.429 4.896
3.212 1.368 4.896
3.212 5.429 1.447
5.819 8.166 5.449
5.819 12.226 2.001
7.728 8.166 2.001
7.728 12.226 5.449
2.258 10.196 2.805
2.258 10.196 6.253
6.774 3.399 0.644
6.774 3.399 4.092
0.362 9.604 6.276
0.362 10.787 2.827
1.728 8.283 2.781
1.728 12.108 6.230
2.788 8.283 6.230
2.788 12.108 2.781
4.153 9.604 2.827
4.153 10.787 6.276
4.878 2.807 0.621
4.878 3.990 4.070
6.244 1.486 4.116
6.244 5.311 0.667
7.303 1.486 0.667
7.303 5.311 4.116
8.669 2.807 4.070
8.669 3.990 0.621
0.762 2.466 4.035
0.762 4.332 0.587
1.420 7.150 2.724
1.420 13.241 6.173
3.095 7.150 6.173
3.095 13.241 2.724
3.754 2.466 0.587
3.754 4.332 4.035
5.278 9.263 2.861
5.278 11.129 6.310
5.936 0.353 4.173
5.936 6.444 0.724
7.611 0.353 0.724
7.611 6.444 4.173
8.270 9.263 6.310
8.270 11.129 2.861

---

Record 17
K2Re3C2Se5N2, relaxed, DFT GGA-PBE; raw total energy = -7.040 eV per atom; symmetry = P2_1/c
1.0
9.776 0.000 0.000
0.000 13.217 0.000
-6.752 0.000 10.360
K Re C Se N
8 12 8 20 8
Cartesian
0.910 2.263 0.016
-2.465 4.346 5.196
0.433 7.401 3.386
-2.943 12.425 8.566
5.968 0.792 1.794
2.592 5.816 6.975
5.490 8.871 5.164
2.114 10.954 10.344
-3.696 7.001 10.350
-0.320 12.824 5.170
-1.812 6.818 8.495
1.564 13.008 3.315
1.126 1.822 4.979
-2.250 4.787 10.159
5.275 8.430 0.201
1.899 11.395 5.381
1.461 0.209 7.045
4.837 6.399 1.865
3.345 0.393 5.190
6.721 6.216 0.010
-1.735 7.157 6.442
1.641 12.668 1.262
-2.647 2.758 9.945
0.729 3.851 4.765
2.296 9.366 5.595
5.672 10.459 0.415
1.383 0.549 9.098
4.759 6.060 3.918
-6.180 7.662 10.249
-2.804 12.164 5.069
-0.566 1.209 3.188
-3.942 5.400 8.369
-3.216 8.935 8.764
0.160 10.890 3.584
-0.683 1.550 6.759
2.693 5.059 1.579
3.469 8.549 1.982
0.093 11.277 7.162
2.932 1.940 3.198
-0.444 4.668 8.378
0.332 8.158 8.781
3.708 11.667 3.601
2.865 2.327 6.777
6.241 4.281 1.596
6.966 7.817 1.992
3.590 12.008 7.172
5.828 1.053 5.292
9.204 5.555 0.111
-1.719 7.389 5.283
1.657 12.437 0.103
-2.870 1.604 9.832
0.506 5.005 4.652
2.519 8.212 5.708
5.895 11.613 0.528
1.368 0.780 10.257
4.744 5.828 5.077

---

Record 18
K2ZnC4N4, relaxed, DFT GGA-PBE; raw total energy = -6.832 eV per atom; symmetry = Fd-3m
1.0
0.000 6.219 6.219
6.219 0.000 6.219
6.219 6.219 0.000
K Zn C N
4 2 8 8
Cartesian
0.000 0.000 0.000
3.109 3.109 0.000
3.109 0.000 3.109
0.000 3.109 3.109
4.664 4.664 4.664
7.773 7.773 7.773
3.516 3.516 3.516
5.812 5.812 3.516
5.812 3.516 5.812
8.921 6.625 6.625
3.516 5.812 5.812
6.625 8.921 6.625
6.625 6.625 8.921
8.921 8.921 8.921
9.598 5.948 5.948
2.839 2.839 2.839
6.489 6.489 2.839
6.489 2.839 6.489
5.948 9.598 5.948
5.948 5.948 9.598
9.598 9.598 9.598
2.839 6.489 6.489

---

Record 19
K2ZnC4N4, relaxed, DFT GGA-PBE; raw total energy = -6.820 eV per atom; symmetry = R-3c
1.0
4.234 2.444 14.336
-4.234 2.444 14.336
0.000 -4.889 14.336
K Zn C N
8 4 16 16
Cartesian
0.000 0.000 0.000
-2.464 0.621 17.919
-1.770 -1.824 25.087
0.695 -2.445 17.919
0.000 0.000 21.503
-0.695 2.444 25.087
1.770 1.824 17.919
2.464 -0.621 25.087
0.000 0.000 7.964
0.000 0.000 13.540
0.000 0.000 29.467
0.000 0.000 35.043
-2.440 -1.912 20.024
-1.794 0.533 12.857
0.000 0.000 5.983
0.436 -1.820 12.857
-2.875 1.157 22.982
0.000 0.000 15.520
0.436 -3.069 22.982
-1.359 -1.287 30.150
1.359 1.287 12.857
-0.436 3.069 20.024
0.000 0.000 27.486
2.875 -1.157 20.024
-0.436 1.820 30.150
0.000 0.000 37.023
1.794 -0.533 30.150
2.440 1.911 22.982
-2.840 0.876 12.450
0.000 0.000 4.810
0.662 -2.897 12.450
-1.394 -1.569 19.618
-2.178 -2.021 30.557
-2.056 0.423 23.389
0.000 0.000 16.693
0.662 -1.992 23.389
-0.662 1.992 19.618
0.000 0.000 26.313
2.056 -0.423 19.618
2.178 2.021 12.450
1.394 1.569 23.389
-0.662 2.897 30.557
0.000 0.000 38.196
2.840 -0.876 30.557